(1)
Computed, not measured: a relaxed PrAuSO crystal at the PBE level of DFT.

a b c (Å): 5.712 5.712 9.118
angles (deg): 90.00 90.00 90.00
Fractional coordinates of all 16 atoms:
Au: 0.679 0.179 0.491
Au: 0.179 0.321 0.491
Au: 0.821 0.679 0.491
Au: 0.321 0.821 0.491
O: 0.749 0.249 0.001
O: 0.249 0.251 0.001
O: 0.751 0.749 0.001
O: 0.251 0.751 0.001
Pr: 0.500 0.000 0.133
Pr: 0.000 0.500 0.133
Pr: 0.000 0.000 0.864
Pr: 0.500 0.500 0.864
S: 0.000 0.000 0.303
S: 0.500 0.500 0.303
S: 0.500 0.000 0.713
S: 0.000 0.500 0.713

Calculated values
Excess energy over the best structure of this formula in the dataset, meV/atom: 99
Symmetry: P4bm, No. 100
Crystal system: tetragonal

---

(2)
Computed, not measured: a relaxed PrHf3I crystal at the PBE level of DFT.

a b c (Å): 5.282 5.282 5.282
angles (deg): 90.00 90.00 90.00
Fractional coordinates of all 5 atoms:
Hf: 0.500 0.000 0.000
Hf: 0.000 0.500 0.000
Hf: 0.000 0.000 0.500
I: 0.000 0.000 0.000
Pr: 0.500 0.500 0.500

Calculated values
Symmetry: Pm-3m, No. 221
Crystal system: cubic

---

Taking the records one at a time from the top gives calculated volume values of 18.6 29.5 Å³/atom.
Taking the records one at a time from the top gives final energy values of -97.2 -32.0 eV for the cell shown.